Here is a relaxed structure of KPuMnO6 from Alexandria via LeMat-Bulk. Energies are from PBE+U.

Results
calculated total energy = -7.76 eV per atom
N(E_F) = 0.002 states/eV/atom
symmetry = P-31c, No. 163

Cell: 5.272 5.272 12.071 Å, 90.00 90.00 120.00°
Element x y z (fractional)
K: 0.000 0.000 0.000
K: 0.000 0.000 0.500
Pu: 0.333 0.667 0.250
Pu: 0.667 0.333 0.750
Mn: 0.333 0.667 0.750
Mn: 0.667 0.333 0.250
O: 0.011 0.378 0.661
O: 0.011 0.632 0.839
O: 0.368 0.378 0.839
O: 0.368 0.989 0.661
O: 0.378 0.011 0.161
O: 0.378 0.368 0.339
O: 0.622 0.632 0.661
O: 0.622 0.989 0.839
O: 0.632 0.011 0.339
O: 0.632 0.622 0.161
O: 0.989 0.368 0.161
O: 0.989 0.622 0.339